(1)
Cs3InI6 after structural relaxation, computed with PBE.

```
10
Lattice="0.000 6.551 6.551 6.551 0.000 6.551 6.551 6.551 0.000" Properties=species:S:1:pos:R:3 pbc="T T T"
Cs 0.000 0.000 0.000
Cs 3.276 3.276 3.276
Cs 9.827 9.827 9.827
In 6.551 6.551 6.551
I 6.551 6.551 3.608
I 6.551 3.608 6.551
I 9.494 6.551 6.551
I 3.608 6.551 6.551
I 6.551 9.494 6.551
I 6.551 6.551 9.494
```

## Properties
energy above the most stable polymorph in this dataset: 39.4 meV/atom
energy relative to the elements, uncorrected: -1082 meV/atom
ρ: 3.76 g cm⁻³



(2)
Cs3In2I8 after structural relaxation, computed with PBE.

```
13
Lattice="4.341 2.506 10.932 -4.341 2.506 10.932 0.000 -5.012 10.932" Properties=species:S:1:pos:R:3 pbc="T T T"
Cs 0.000 0.000 0.000
Cs 0.000 0.000 6.825
Cs 0.000 0.000 25.971
In 0.000 0.000 13.476
In 0.000 0.000 19.320
I -2.364 -1.365 18.466
I 0.000 -2.730 14.331
I -2.364 1.365 14.331
I 0.000 0.000 10.631
I 0.000 0.000 22.165
I 2.364 -1.365 18.466
I 0.000 2.730 18.466
I 2.364 1.365 14.331
```

## Properties
energy relative to the elements, uncorrected: -973 meV/atom
ρ: 3.83 g cm⁻³



(3)
CsKIn2I6 after structural relaxation, computed with PBE.

```
10
Lattice="4.417 2.550 6.961 -4.417 2.550 6.961 0.000 -5.100 6.961" Properties=species:S:1:pos:R:3 pbc="T T T"
Cs 0.000 0.000 0.000
K 0.000 0.000 11.049
In 0.000 0.000 5.186
In 0.000 0.000 15.653
I -3.649 -0.215 10.367
I -0.567 -2.345 13.872
I 2.011 -3.052 10.367
I -1.747 1.664 13.872
I 1.638 3.268 10.367
I 2.314 0.681 13.871
```

## Properties
energy relative to the elements, uncorrected: -889 meV/atom
ρ: 4.11 g cm⁻³



(4)
CsKInI6 after structural relaxation, computed with PBE.

```
9
Lattice="4.321 -7.494 0.000 4.321 7.494 0.000 -0.004 0.000 8.036" Properties=species:S:1:pos:R:3 pbc="T T T"
Cs 0.000 0.000 0.000
K 4.319 -2.495 4.018
In 4.319 2.496 4.018
I 1.908 2.491 2.331
I 3.122 4.587 5.711
I 5.517 4.587 2.325
I 3.113 0.414 5.712
I 5.526 0.414 2.324
I 6.731 2.491 5.705
```

## Properties
energy relative to the elements, uncorrected: -781 meV/atom
ρ: 3.34 g cm⁻³



(5)
CsKInI4 after structural relaxation, computed with PBE.

```
14
Lattice="4.275 -9.516 0.000 4.275 9.516 0.000 0.000 0.000 8.573" Properties=species:S:1:pos:R:3 pbc="T T T"
Cs 4.275 7.463 6.429
Cs 4.275 -7.463 2.143
K 4.275 2.097 6.429
K 4.275 -2.097 2.143
In 4.275 4.704 2.143
In 4.275 -4.704 6.429
I 2.137 4.758 0.000
I 2.137 4.758 4.286
I 4.275 7.834 2.143
I 4.275 1.492 2.143
I 2.137 -4.758 0.000
I 2.137 -4.758 4.286
I 4.275 -1.492 6.429
I 4.275 -7.834 6.429
```

## Properties
energy relative to the elements, uncorrected: -1041 meV/atom
ρ: 3.78 g cm⁻³



(6)
Cs2KIn2I6 after structural relaxation, computed with PBE.

```
11
Lattice="7.156 -4.488 0.000 7.156 4.488 0.000 -3.788 0.000 9.395" Properties=species:S:1:pos:R:3 pbc="T T T"
Cs 2.036 0.000 1.654
Cs 8.488 0.000 7.741
K -1.894 0.000 4.698
In 4.438 0.000 5.974
In 6.085 0.000 3.421
I 5.557 2.443 1.786
I 1.542 0.000 5.558
I 4.967 2.443 7.610
I 5.557 -2.443 1.786
I 8.981 0.000 3.838
I 4.967 -2.443 7.610
```

## Properties
energy relative to the elements, uncorrected: -995 meV/atom
ρ: 3.57 g cm⁻³



(7)
CsLi2InI6 after structural relaxation, computed with PBE.

```
10
Lattice="7.528 0.000 0.000 -2.577 7.281 0.000 -1.240 -2.544 8.014" Properties=species:S:1:pos:R:3 pbc="T T T"
Cs 0.000 0.000 0.000
Li 3.173 0.030 4.435
Li 2.631 3.984 2.590
In -1.217 3.757 3.887
I 1.093 1.909 3.424
I 0.406 5.698 2.103
I 0.055 5.149 6.180
I 4.939 2.772 1.461
I 4.999 1.803 5.661
I 4.103 5.665 4.150
```

## Properties
energy relative to the elements, uncorrected: -964 meV/atom
ρ: 3.87 g cm⁻³



(8)
CsMgInI4 after structural relaxation, computed with PBE.

```
14
Lattice="8.174 0.000 0.000 0.000 8.417 0.000 -3.259 0.000 9.932" Properties=species:S:1:pos:R:3 pbc="T T T"
Cs 0.560 2.104 4.377
Cs 4.356 6.313 5.554
Mg 1.679 6.313 1.805
Mg 3.236 2.104 8.127
In -0.884 2.104 9.477
In 5.800 6.313 0.455
I -2.448 6.313 9.150
I -0.439 6.313 3.550
I 3.314 0.044 2.310
I 3.314 4.164 2.310
I 1.602 4.253 7.622
I 1.602 8.372 7.622
I 5.354 2.104 6.381
I 7.364 2.104 0.782
```

## Properties
energy relative to the elements, uncorrected: -1023 meV/atom
ρ: 3.79 g cm⁻³



(9)
Cs2MgInI5 after structural relaxation, computed with PBE.

```
18
Lattice="2.362 -10.711 0.000 2.362 10.711 0.000 0.000 0.000 17.560" Properties=species:S:1:pos:R:3 pbc="T T T"
Cs 2.362 8.969 8.780
Cs 2.362 7.553 2.680
Cs 2.362 -7.553 11.460
Cs 2.362 -8.969 0.000
Mg 2.362 5.939 15.573
Mg 2.362 -5.939 6.793
In 2.362 0.925 5.434
In 2.362 -0.925 14.214
I 2.362 8.697 16.375
I 2.362 5.193 8.792
I 2.362 4.148 4.853
I 2.362 3.208 14.763
I 2.362 0.101 11.062
I 2.362 -0.101 2.282
I 2.362 -3.208 5.983
I 2.362 -4.148 13.633
I 2.362 -5.193 0.013
I 2.362 -8.697 7.595
```

## Properties
energy relative to the elements, uncorrected: -1090 meV/atom
ρ: 3.89 g cm⁻³



(10)
CsMgIn2I8 after structural relaxation, computed with PBE.

```
12
Lattice="3.759 2.170 11.523 -3.759 2.170 11.523 0.000 -4.340 11.523" Properties=species:S:1:pos:R:3 pbc="T T T"
Cs 0.000 0.000 0.000
Mg 0.000 0.000 17.284
In 0.000 0.000 8.429
In 0.000 0.000 26.139
I -0.938 -2.100 15.309
I -1.350 -1.862 19.259
I 0.000 0.000 11.249
I -1.350 1.862 15.309
I -0.938 2.100 19.259
I 0.000 0.000 23.319
I 2.288 0.238 15.309
I 2.288 -0.238 19.259
```

## Properties
energy relative to the elements, uncorrected: -687 meV/atom
ρ: 4.13 g cm⁻³



(11)
CsMg2InI6 after structural relaxation, computed with PBE.

```
20
Lattice="8.093 -8.087 0.000 8.093 8.087 0.000 -0.903 0.000 7.822" Properties=species:S:1:pos:R:3 pbc="T T T"
Cs 7.415 6.407 5.867
Cs 7.867 -6.407 1.956
Mg 4.038 1.302 5.594
Mg 4.489 -1.302 1.683
Mg 10.792 1.302 6.140
Mg 11.244 -1.302 2.228
In 7.867 3.368 1.956
In 7.415 -3.368 5.867
I 1.328 1.695 5.523
I 5.284 3.365 6.802
I 1.780 -1.695 1.611
I 5.037 1.139 2.960
I 4.585 -1.139 6.871
I 9.547 3.365 4.932
I 5.735 -3.365 2.891
I 10.697 1.139 0.951
I 10.245 -1.139 4.862
I 13.502 1.695 6.211
I 9.998 -3.365 1.020
I 13.953 -1.695 2.300
```

## Properties
energy relative to the elements, uncorrected: -992 meV/atom
ρ: 3.43 g cm⁻³



(12)
CsMgInI6 after structural relaxation, computed with PBE.

```
9
Lattice="7.619 0.000 0.000 -3.810 6.598 0.000 0.000 0.000 8.828" Properties=species:S:1:pos:R:3 pbc="T T T"
Cs 0.000 0.000 0.000
Mg 0.000 4.399 4.414
In 3.810 2.199 4.414
I -1.390 2.435 6.115
I -2.396 4.177 2.713
I 1.390 2.435 2.713
I -1.006 6.585 6.115
I 2.396 4.177 6.115
I 1.006 6.585 2.713
```

## Properties
energy relative to the elements, uncorrected: -900 meV/atom
ρ: 3.87 g cm⁻³



Q: The highest energy relative to the elements, uncorrected belongs to which entry?
A: CsMgIn2I8



Repeat the fourth record exactly.
CsKInI6 after structural relaxation, computed with PBE.

```
9
Lattice="4.321 -7.494 0.000 4.321 7.494 0.000 -0.004 0.000 8.036" Properties=species:S:1:pos:R:3 pbc="T T T"
Cs 0.000 0.000 0.000
K 4.319 -2.495 4.018
In 4.319 2.496 4.018
I 1.908 2.491 2.331
I 3.122 4.587 5.711
I 5.517 4.587 2.325
I 3.113 0.414 5.712
I 5.526 0.414 2.324
I 6.731 2.491 5.705
```

## Properties
energy relative to the elements, uncorrected: -781 meV/atom
ρ: 3.34 g cm⁻³